Entry 1
ScZnCl2 | GGA-PBEsol | optimized geometry

a = 3.456 Å, b = 3.650 Å, c = 7.308 Å
α = 104.47°, β = 90.00°, γ = 90.00°
Last column: magnetic moment on the atom in μB.
Fractional positions:
Sc (0.000, 0.712, 0.549)  0.36
Cl (0.500, 0.587, 0.298)  0.00
Zn (0.500, 0.310, 0.744)  0.04
Cl (0.000, 0.890, 0.910)  0.02

Summary:
volume	89	Å³ per cell

***

Entry 2
ScZnCl2 | GGA-PBEsol | optimized geometry

a = 3.212 Å, b = 3.212 Å, c = 7.715 Å
α = 90.00°, β = 90.00°, γ = 90.00°
Fractional positions:
Cl (0.500, 0.500, 0.319)
Zn (0.500, 0.500, 0.755)
Cl (0.000, 0.000, 0.923)
Sc (0.000, 0.000, 0.503)

Summary:
volume	80	Å³ per cell

***

Of them, the most stable is entry 1 and the least stable is entry 2.

***

Entry 1
Zr2ScCl | GGA-PBEsol | optimized geometry

a = 3.165 Å, b = 5.008 Å, c = 5.391 Å
α = 90.00°, β = 90.00°, γ = 90.00°
Fractional positions:
Zr (0.000, 0.000, 0.738)
Cl (0.500, 0.500, 0.000)
Zr (0.000, 0.000, 0.262)
Sc (0.500, 0.500, 0.500)

Summary:
volume	85	Å³ per cell

***

Entry 2
Zr2ScCl | GGA-PBEsol | optimized geometry

a = 3.036 Å, b = 5.265 Å, c = 5.910 Å
α = 116.45°, β = 104.88°, γ = 90.00°
Fractional positions:
Zr (0.003, 0.003, 0.005)
Sc (0.789, 0.289, 0.578)
Zr (0.209, 0.709, 0.418)
Cl (0.499, 0.499, 0.998)

Summary:
volume	81	Å³ per cell

***

Entry 3
Zr2ScCl | GGA-PBEsol | optimized geometry

a = 3.116 Å, b = 4.878 Å, c = 6.016 Å
α = 90.00°, β = 104.97°, γ = 90.00°
Fractional positions:
Zr (0.061, 0.000, 0.997)
Zr (0.656, 0.500, 0.189)
Cl (0.375, 0.000, 0.622)
Sc (0.409, 0.500, 0.692)

Summary:
volume	88	Å³ per cell

***

Of them, the most stable is entry 3 and the least stable is entry 1.

***

Entry 1
TaSeCl2 | GGA-PBEsol | optimized geometry

a = 3.327 Å, b = 3.327 Å, c = 8.278 Å
α = 78.41°, β = 78.41°, γ = 60.00°
Fractional positions:
Cl (0.984, 0.984, 0.049)
Se (0.512, 0.512, 0.465)
Ta (0.249, 0.249, 0.253)
Cl (0.756, 0.756, 0.732)

Summary:
volume	77	Å³ per cell

***

Entry 2
TaSeCl2 | GGA-PBEsol | optimized geometry

a = 3.067 Å, b = 3.067 Å, c = 8.375 Å
α = 90.00°, β = 90.00°, γ = 90.00°
Last column: magnetic moment on the atom in μB.
Fractional positions:
Se (0.000, 0.000, 0.565)  0.00
Cl (0.500, 0.500, 0.253)  0.11
Cl (0.000, 0.000, 0.936)  0.00
Ta (0.500, 0.500, 0.747)  0.00

Summary:
volume	79	Å³ per cell

***

Entry 3
TaSeCl2 | GGA-PBEsol | optimized geometry

a = 4.173 Å, b = 4.173 Å, c = 4.856 Å
α = 115.45°, β = 115.45°, γ = 90.00°
Fractional positions:
Ta (0.000, 0.000, 0.000)
Cl (0.250, 0.750, 0.500)
Se (0.500, 0.500, 0.000)
Cl (0.750, 0.250, 0.500)

Summary:
volume	67	Å³ per cell

***

Of them, the most stable is entry 1 and the least stable is entry 3.

***

Entry 1
TlSe2Cl | GGA-PBEsol | optimized geometry

a = 4.207 Å, b = 4.207 Å, c = 8.177 Å
α = 75.09°, β = 75.09°, γ = 60.00°
Fractional positions:
Cl (0.000, 0.000, 0.000)
Se (0.104, 0.104, 0.687)
Tl (0.500, 0.500, 0.500)
Se (0.896, 0.896, 0.313)

Summary:
volume	120	Å³ per cell

***

Entry 2
TlSe2Cl | GGA-PBEsol | optimized geometry

a = 3.919 Å, b = 3.919 Å, c = 6.571 Å
α = 90.00°, β = 90.00°, γ = 90.00°
Fractional positions:
Se (0.000, 0.500, 0.000)
Se (0.500, 0.000, 0.000)
Cl (0.000, 0.000, 0.500)
Tl (0.500, 0.500, 0.500)

Summary:
volume	101	Å³ per cell

***

Of them, the most stable is entry 2 and the least stable is entry 1.

***

Entry 1
Y2Se2Cl | GGA-PBEsol | optimized geometry

a = 4.895 Å, b = 4.895 Å, c = 7.112 Å
α = 110.13°, β = 110.13°, γ = 90.00°
Last column: magnetic moment on the atom in μB.
Fractional positions:
Y (0.353, 0.353, 0.707)  0.29
Se (0.250, 0.750, 0.500)  0.00
Cl (0.000, 0.000, 0.000)  0.01
Y (0.647, 0.647, 0.293)  0.29
Se (0.750, 0.250, 0.500)  0.00

Summary:
volume	149	Å³ per cell

***

Entry 2
Y2Se2Cl | GGA-PBEsol | optimized geometry

a = 3.743 Å, b = 7.670 Å, c = 7.670 Å
α = 90.00°, β = 90.00°, γ = 90.00°
Fractional positions:
Y (0.000, 0.345, 0.845)
Se (0.500, 0.143, 0.643)
Y (0.000, 0.655, 0.155)
Se (0.500, 0.643, 0.857)
Y (0.000, 0.155, 0.345)
Se (0.500, 0.357, 0.143)
Se (0.500, 0.857, 0.357)
Cl (0.000, 0.000, 0.000)
Y (0.000, 0.845, 0.655)
Cl (0.000, 0.500, 0.500)

Summary:
volume	220	Å³ per cell

***

Of them, the most stable is entry 2 and the least stable is entry 1.

***

Entry 1
YSe3Cl | GGA-PBEsol | optimized geometry

a = 5.383 Å, b = 5.383 Å, c = 5.383 Å
α = 90.00°, β = 90.00°, γ = 90.00°
Last column: magnetic moment on the atom in μB.
Fractional positions:
Y (0.000, 0.000, 0.000)  -0.01
Se (0.000, 0.000, 0.500)  0.24
Se (0.000, 0.500, 0.000)  0.24
Se (0.500, 0.000, 0.000)  0.24
Cl (0.500, 0.500, 0.500)  0.16

Summary:
volume	156	Å³ per cell

***

Entry 2
YSe3Cl | GGA-PBEsol | optimized geometry

a = 4.874 Å, b = 4.874 Å, c = 4.874 Å
α = 90.00°, β = 90.00°, γ = 90.00°
Fractional positions:
Se (0.000, 0.500, 0.000)
Cl (0.000, 0.000, 0.000)
Se (0.000, 0.000, 0.500)
Se (0.500, 0.000, 0.000)
Y (0.500, 0.500, 0.500)

Summary:
volume	116	Å³ per cell

***

Of them, the most stable is entry 2 and the least stable is entry 1.